[1]
Material: KPtN2F
Method: DFT, GGA-PBE
State: relaxed

Summary:
- energy relative to the elements, uncorrected (meV/atom) = -38.8

Cell and atoms, written as CIF:
```
data_KPtN2F
_cell_length_a 3.749
_cell_length_b 3.749
_cell_length_c 6.702
_cell_angle_alpha 90.00
_cell_angle_beta 90.00
_cell_angle_gamma 90.00
_symmetry_space_group_name_H-M 'P 4/m m m'
_symmetry_Int_Tables_number 123
_symmetry_space_group_name_Hall '-P 4 2'
loop_
_atom_site_label
_atom_site_fract_x
_atom_site_fract_y
_atom_site_fract_z
_atom_site_occupancy
K1 0.000 0.000 0.000 1
Pt1 0.500 0.500 0.500 1
N1 0.000 0.500 0.500 1
F1 0.500 0.500 0.000 1
```

[2]
Material: BaSiBr2
Method: DFT, GGA-PBE
State: relaxed

Summary:
- energy relative to the elements, uncorrected (meV/atom) = -642.4

Cell and atoms, written as CIF:
```
data_BaSiBr2
_cell_length_a 4.348
_cell_length_b 5.138
_cell_length_c 6.379
_cell_angle_alpha 90.00
_cell_angle_beta 90.00
_cell_angle_gamma 90.00
_symmetry_space_group_name_H-M 'P m m 2'
_symmetry_Int_Tables_number 25
_symmetry_space_group_name_Hall 'P 2 -2'
loop_
_atom_site_label
_atom_site_fract_x
_atom_site_fract_y
_atom_site_fract_z
_atom_site_occupancy
Ba1 0.000 0.000 0.000 1
Si1 0.500 0.500 0.811 1
Br1 0.000 0.000 0.504 1
Br2 0.500 0.500 0.198 1
```

[3]
Material: Hf3InPt12
Method: DFT, GGA-PBE
State: relaxed

Summary:
- E_form (eV/atom) = -0.96

Cell and atoms, written as CIF:
```
data_Hf3InPt12
_cell_length_a 4.033
_cell_length_b 4.033
_cell_length_c 16.161
_cell_angle_alpha 90.00
_cell_angle_beta 90.00
_cell_angle_gamma 90.00
_symmetry_space_group_name_H-M 'P 4/m m m'
_symmetry_Int_Tables_number 123
_symmetry_space_group_name_Hall '-P 4 2'
loop_
_atom_site_label
_atom_site_fract_x
_atom_site_fract_y
_atom_site_fract_z
_atom_site_occupancy
Hf1 0.000 0.000 0.000 1
Hf2 0.000 0.000 0.252 1
In1 0.000 0.000 0.500 1
Pt1 0.000 0.500 0.124 1
Pt2 0.000 0.500 0.371 1
Pt3 0.500 0.500 0.000 1
Pt4 0.500 0.500 0.248 1
Pt5 0.500 0.500 0.500 1
```

[4]
Material: CaOs3I
Method: DFT, GGA-PBE
State: relaxed

Summary:
- energy relative to the elements, uncorrected (meV/atom) = 2056.8

Cell and atoms, written as CIF:
```
data_CaOs3I
_cell_length_a 4.859
_cell_length_b 4.859
_cell_length_c 4.859
_cell_angle_alpha 90.00
_cell_angle_beta 90.00
_cell_angle_gamma 90.00
_symmetry_space_group_name_H-M 'P m -3 m'
_symmetry_Int_Tables_number 221
_symmetry_space_group_name_Hall '-P 4 2 3'
loop_
_atom_site_label
_atom_site_fract_x
_atom_site_fract_y
_atom_site_fract_z
_atom_site_occupancy
Ca1 0.000 0.000 0.000 1
Os1 0.000 0.500 0.500 1
I1 0.500 0.500 0.500 1
```

[5]
Material: MgTiAg2
Method: DFT, GGA-PBE
State: relaxed

Summary:
- E_form (eV/atom) = -0.05

Cell and atoms, written as CIF:
```
data_MgTiAg2
_cell_length_a 3.072
_cell_length_b 3.072
_cell_length_c 7.597
_cell_angle_alpha 90.00
_cell_angle_beta 90.00
_cell_angle_gamma 90.00
_symmetry_space_group_name_H-M 'P 4/m m m'
_symmetry_Int_Tables_number 123
_symmetry_space_group_name_Hall '-P 4 2'
loop_
_atom_site_label
_atom_site_fract_x
_atom_site_fract_y
_atom_site_fract_z
_atom_site_occupancy
Mg1 0.000 0.000 0.000 1
Ti1 0.000 0.000 0.500 1
Ag1 0.500 0.500 0.250 1
```

[6]
Material: OsRu2Au
Method: DFT, GGA-PBE
State: relaxed

Summary:
- E_form (eV/atom) = 0.76

Cell and atoms, written as CIF:
```
data_OsRu2Au
_cell_length_a 6.267
_cell_length_b 6.267
_cell_length_c 6.267
_cell_angle_alpha 90.00
_cell_angle_beta 90.00
_cell_angle_gamma 90.00
_symmetry_space_group_name_H-M 'F -4 3 m'
_symmetry_Int_Tables_number 216
_symmetry_space_group_name_Hall 'F -4 2 3'
loop_
_atom_site_label
_atom_site_fract_x
_atom_site_fract_y
_atom_site_fract_z
_atom_site_occupancy
Os1 0.000 0.000 0.000 1
Ru1 0.000 0.000 0.500 1
Ru2 0.250 0.250 0.750 1
Au1 0.250 0.250 0.250 1
```

[7]
Material: Nd3Sm3Ho4
Method: DFT, GGA-PBE
State: relaxed

Summary:
- E_form (eV/atom) = 0.09

Cell and atoms, written as CIF:
```
data_Nd3Sm3Ho4
_cell_length_a 3.688
_cell_length_b 13.534
_cell_length_c 13.553
_cell_angle_alpha 90.00
_cell_angle_beta 90.00
_cell_angle_gamma 90.00
_symmetry_space_group_name_H-M 'A m m 2'
_symmetry_Int_Tables_number 38
_symmetry_space_group_name_Hall 'A 2 -2'
loop_
_atom_site_label
_atom_site_fract_x
_atom_site_fract_y
_atom_site_fract_z
_atom_site_occupancy
Nd1 0.000 0.000 0.000 1
Nd2 0.000 0.175 0.674 1
Sm1 0.000 0.000 0.349 1
Sm2 0.500 0.249 0.424 1
Ho1 0.500 0.000 0.551 1
Ho2 0.500 0.000 0.798 1
Ho3 0.500 0.123 0.175 1
```

[8]
Material: Pr2NiGe3
Method: DFT, GGA-PBE
State: relaxed

Summary:
- E_form (eV/atom) = -0.64

Cell and atoms, written as CIF:
```
data_Pr2NiGe3
_cell_length_a 4.2796
_cell_length_b 4.2796
_cell_length_c 8.3364
_cell_angle_alpha 90.00
_cell_angle_beta 90.00
_cell_angle_gamma 120.00
_symmetry_space_group_name_H-M 'P -6 m 2'
_symmetry_Int_Tables_number 187
_symmetry_space_group_name_Hall 'P -6 2'
loop_
_atom_site_label
_atom_site_fract_x
_atom_site_fract_y
_atom_site_fract_z
_atom_site_occupancy
Pr1 0.0000 0.0000 0.2351 1
Ni1 0.3333 0.6667 0.0000 1
Ge1 0.3333 0.6667 0.5000 1
Ge2 0.6667 0.3333 0.0000 1
Ge3 0.6667 0.3333 0.5000 1
```

[9]
Material: Rb2CuBr3Cl
Method: DFT, GGA-PBE
State: relaxed

Summary:
- energy relative to the elements, uncorrected (meV/atom) = -1161.6

Cell and atoms, written as CIF:
```
data_Rb2CuBr3Cl
_cell_length_a 5.122
_cell_length_b 5.215
_cell_length_c 16.865
_cell_angle_alpha 90.00
_cell_angle_beta 90.00
_cell_angle_gamma 90.00
_symmetry_space_group_name_H-M 'I m m m'
_symmetry_Int_Tables_number 71
_symmetry_space_group_name_Hall '-I 2 2'
loop_
_atom_site_label
_atom_site_fract_x
_atom_site_fract_y
_atom_site_fract_z
_atom_site_occupancy
Rb1 0.000 0.000 0.137 1
Cu1 0.000 0.000 0.500 1
Br1 0.000 0.000 0.349 1
Br2 0.000 0.500 0.500 1
Cl1 0.000 0.500 0.000 1
```

[10]
Material: Pr2Ho2Er5
Method: DFT, GGA-PBE
State: relaxed

Summary:
- E_form (eV/atom) = 0.22

Cell and atoms, written as CIF:
```
data_Pr2Ho2Er5
_cell_length_a 14.893
_cell_length_b 11.804
_cell_length_c 6.692
_cell_angle_alpha 90.00
_cell_angle_beta 90.00
_cell_angle_gamma 90.00
_symmetry_space_group_name_H-M 'I m a 2'
_symmetry_Int_Tables_number 46
_symmetry_space_group_name_Hall 'I 2 -2a'
loop_
_atom_site_label
_atom_site_fract_x
_atom_site_fract_y
_atom_site_fract_z
_atom_site_occupancy
Pr1 0.000 0.000 0.000 1
Pr2 0.250 0.010 0.904 1
Ho1 0.127 0.505 0.952 1
Er1 0.053 0.743 0.304 1
Er2 0.142 0.236 0.111 1
Er3 0.250 0.747 0.109 1
```

[11]
Material: ZnClF2
Method: DFT, GGA-PBE
State: relaxed

Summary:
- energy relative to the elements, uncorrected (meV/atom) = -837.4

Cell and atoms, written as CIF:
```
data_ZnClF2
_cell_length_a 3.1129
_cell_length_b 3.1129
_cell_length_c 29.1466
_cell_angle_alpha 90.00
_cell_angle_beta 90.00
_cell_angle_gamma 120.00
_symmetry_space_group_name_H-M 'R -3 m'
_symmetry_Int_Tables_number 166
_symmetry_space_group_name_Hall '-R 3 2"'
loop_
_atom_site_label
_atom_site_fract_x
_atom_site_fract_y
_atom_site_fract_z
_atom_site_occupancy
Zn1 0.0000 0.0000 0.0000 1
Cl1 0.0000 0.0000 0.5000 1
F1 0.0000 0.0000 0.0591 1
```

[12]
Material: AcTl2Hg2Se4
Method: DFT, GGA-PBE
State: relaxed

Summary:
- energy relative to the elements, uncorrected (meV/atom) = -669.5

Cell and atoms, written as CIF:
```
data_AcTl2Hg2Se4
_cell_length_a 16.660
_cell_length_b 4.418
_cell_length_c 8.305
_cell_angle_alpha 90.00
_cell_angle_beta 113.67
_cell_angle_gamma 90.00
_symmetry_space_group_name_H-M 'C 1 2/m 1'
_symmetry_Int_Tables_number 12
_symmetry_space_group_name_Hall '-C 2y'
loop_
_atom_site_label
_atom_site_fract_x
_atom_site_fract_y
_atom_site_fract_z
_atom_site_occupancy
Ac1 0.000 0.000 0.000 1
Tl1 0.123 0.000 0.556 1
Hg1 0.195 0.500 0.032 1
Se1 0.029 0.500 0.764 1
Se2 0.202 0.000 0.248 1
```

Number 1: raw total energy -5.171 eV per atom, total magnetization 0.00 μB/f.u.. Number 2: raw total energy -3.315 eV per atom, total magnetization 1.23 μB/f.u.. Number 3: raw total energy -7.524 eV per atom, total magnetization 0.00 μB/f.u.. Number 4: raw total energy -5.391 eV per atom, total magnetization 0.00 μB/f.u.. Number 5: raw total energy -3.851 eV per atom, total magnetization 1.19 μB/f.u.. Number 6: raw total energy -7.504 eV per atom, total magnetization 2.29 μB/f.u.. Number 7: raw total energy -4.583 eV per atom, total magnetization 0.00 μB/f.u.. Number 8: raw total energy -5.504 eV per atom, total magnetization 0.00 μB/f.u.. Number 9: raw total energy -3.004 eV per atom, total magnetization 0.78 μB/f.u.. Number 10: raw total energy -4.398 eV per atom, total magnetization 0.00 μB/f.u.. Number 11: raw total energy -2.553 eV per atom, total magnetization 0.64 μB/f.u.. Number 12: raw total energy -3.268 eV per atom, total magnetization 0.00 μB/f.u..